Below is an optimized crystal structure of SrLiSn2Se4, with properties calculated at the PBE level.

formation energy without anion corrections: -7.51 eV per formula unit
DOS at the Fermi energy: 0.406 states/eV/atom
total moment: 0.000 μB per atom
space-group type: No. 63
crystal system: orthorhombic

```
data_SrLiSn2Se4
_chemical_formula_sum 'Sr2 Li2 Sn4 Se8'
_cell_length_a 7.212
_cell_length_b 7.212
_cell_length_c 14.499
_cell_angle_alpha 90.00
_cell_angle_beta 90.00
_cell_angle_gamma 145.98
_symmetry_space_group_name_H-M 'P 1'
_symmetry_Int_Tables_number 1
loop_
_symmetry_equiv_pos_as_xyz
'x,y,z'
loop_
_atom_site_label
_atom_site_fract_x
_atom_site_fract_y
_atom_site_fract_z
_atom_site_occupancy
Sr1 0.112 0.888 0.750 1
Sr2 0.888 0.112 0.250 1
Li1 0.152 0.848 0.250 1
Li2 0.848 0.152 0.750 1
Sn1 0.368 0.632 0.559 1
Sn2 0.368 0.632 0.941 1
Sn3 0.632 0.368 0.059 1
Sn4 0.632 0.368 0.441 1
Se1 0.000 0.000 0.000 1
Se2 0.000 0.000 0.500 1
Se3 0.273 0.727 0.120 1
Se4 0.273 0.727 0.380 1
Se5 0.445 0.555 0.750 1
Se6 0.555 0.445 0.250 1
Se7 0.727 0.273 0.620 1
Se8 0.727 0.273 0.880 1
```